Below is a relaxed structure of LaMnSe2, with properties calculated at the PBEsol level.

Lattice parameters (Å, degrees): 4.932 4.932 4.932 60.00 60.00 60.00
Atoms (fractional coordinates):
La 0.000 0.000 0.000
Mn 0.500 0.500 0.500
Se 0.250 0.250 0.250
Se 0.750 0.750 0.750

Computed properties:
The space group is Fm-3m (225).


Below is a relaxed structure of La4MnSi, with properties calculated at the PBEsol level.

Lattice parameters (Å, degrees): 6.226 6.226 6.226 60.00 60.00 60.00
Atoms (fractional coordinates):
La 0.376 0.376 0.376
La 0.376 0.376 0.871
La 0.376 0.871 0.376
La 0.871 0.376 0.376
Mn 0.000 0.000 0.000
Si 0.750 0.750 0.750

Computed properties:
The space group is F-43m (216).


Below is a relaxed structure of LaMn2Si, with properties calculated at the PBEsol level.

Lattice parameters (Å, degrees): 5.803 5.803 5.803 39.16 39.16 39.16
Atoms (fractional coordinates):
La 0.000 0.000 0.000
Mn 0.197 0.197 0.197
Mn 0.506 0.506 0.506
Si 0.801 0.801 0.801

Computed properties:
The space group is R3m (160).


no.,formation energy without anion corrections (eV/atom)
1,-0.91
2,0.65
3,-0.32